Computed, not measured: crystalline Pm2TmCdHg4 at its relaxed geometry at the GGA-PBE level of DFT.

CIF file:
```
data_Pm2TmCdHg4
_chemical_formula_sum 'Pm6 Tm3 Cd3 Hg12'
_symmetry_space_group_name_H-M 'R -3 m'
_symmetry_Int_Tables_number 166
_symmetry_space_group_name_Hall '-R 3 2"'
_cell_length_a 5.1980
_cell_length_b 5.1980
_cell_length_c 26.2218
_cell_angle_alpha 90.00
_cell_angle_beta 90.00
_cell_angle_gamma 120.00
loop_
_atom_site_label
_atom_site_fract_x
_atom_site_fract_y
_atom_site_fract_z
Pm1 0.0000 0.0000 0.2424
Tm1 0.0000 0.0000 0.0000
Cd1 0.0000 0.0000 0.5000
Hg1 0.0000 0.0000 0.1212
Hg2 0.0000 0.0000 0.3677
```

Values from the calculation:
ΔE_f (kJ/mol of formula units): -348
ρ (g/cm3): 11.153